Record 1
A relaxed structure of PmCd5Rh. Source: the Alexandria database, functional PBE.

As for the formation energy: -20.8 kJ per mole of atoms.

It has space group P4/mmm (No. 123), with a = 4.739 Å, b = 4.739 Å, c = 7.384 Å, α = 90.00°, β = 90.00° and γ = 90.00°. The distinct sites, in fractional coordinates, are Pm at (0.000, 0.000, 0.000), Cd at (0.000, 0.500, 0.301), Cd at (0.500, 0.500, 0.000) and Rh at (0.000, 0.000, 0.500).

***

Record 2
A relaxed structure of HfInNiTe3. Source: the Alexandria database, functional PBE.

The value obtained for the uncorrected formation energy is -0.4880 eV/atom.

It has space group P2_1/m (No. 11), with a = 9.342 Å, b = 3.934 Å, c = 10.000 Å, α = 90.00°, β = 112.83° and γ = 90.00°. The distinct sites, in fractional coordinates, are Hf at (0.206, 0.250, 0.177), In at (0.267, 0.750, 0.755), Ni at (0.409, 0.750, 0.394), Te at (0.039, 0.250, 0.854), Te at (0.292, 0.250, 0.481) and Te at (0.408, 0.750, 0.136).

***

Record 3
A relaxed structure of Ho3Tm4Cd4. Source: the Alexandria database, functional PBE.

As for the formation energy: -9.0 kJ per mole of atoms.

It has space group Immm (No. 71), with a = 5.268 Å, b = 6.932 Å, c = 16.860 Å, α = 90.00°, β = 90.00° and γ = 90.00°. The distinct sites, in fractional coordinates, are Ho at (0.000, 0.000, 0.000), Ho at (0.000, 0.500, 0.104), Tm at (0.000, 0.262, 0.317), Cd at (0.000, 0.000, 0.177) and Cd at (0.000, 0.209, 0.500).

***

Record 4
A relaxed structure of Ba2LiCaNi. Source: the Alexandria database, functional PBE.

The calculation puts the relative energy among the computed polymorphs at 0.000 eV/atom. As for the formation energy: 3.4 kJ per mole of atoms.

It has space group P4/mmm (No. 123), with a = 6.086 Å, b = 6.086 Å, c = 5.604 Å, α = 90.00°, β = 90.00° and γ = 90.00°. The distinct sites, in fractional coordinates, are Ba at (0.000, 0.500, 0.000), Li at (0.000, 0.000, 0.500), Ca at (0.500, 0.500, 0.500) and Ni at (0.500, 0.500, 0.000).

***

Record 5
A relaxed structure of LiIn2Sb. Source: the Alexandria database, functional PBE.

The value obtained for the uncorrected formation energy is -0.1459 eV/atom.

It has space group Pm (No. 6), with a = 3.394 Å, b = 4.429 Å, c = 6.962 Å, α = 90.00°, β = 103.92° and γ = 90.00°. The distinct sites, in fractional coordinates, are Li at (0.000, 0.000, 0.000), In at (0.345, 0.500, 0.698), In at (0.734, 0.000, 0.469) and Sb at (0.570, 0.500, 0.141).

***

Record 6
A relaxed structure of AlAgHPb2. Source: the Alexandria database, functional PBE.

The final energy comes out at -2.68 eV/atom.

It has space group P4/mmm (No. 123), with a = 5.475 Å, b = 5.475 Å, c = 4.914 Å, α = 90.00°, β = 90.00° and γ = 90.00°. The distinct sites, in fractional coordinates, are Al at (0.000, 0.000, 0.000), Ag at (0.000, 0.000, 0.500), H at (0.500, 0.500, 0.500) and Pb at (0.000, 0.500, 0.000).